Density functional theory data (PBE) for crystalline LaCl at its relaxed geometry.

Lattice parameters (Å, degrees): 3.8695 7.7126 12.9968 90.00 90.00 90.00
Fractional coordinates of all 12 atoms:
La (0.0000, 0.0194, 0.8665)
La (0.5000, 0.9806, 0.6335)
La (0.5000, 0.9806, 0.3665)
La (0.0000, 0.0194, 0.1335)
La (0.0000, 0.6061, 0.5000)
La (0.5000, 0.3939, 0.0000)
Cl (0.0000, 0.7143, 0.7089)
Cl (0.5000, 0.2857, 0.7911)
Cl (0.5000, 0.2857, 0.2089)
Cl (0.0000, 0.7143, 0.2911)
Cl (0.0000, 0.7053, 0.0000)
Cl (0.5000, 0.2947, 0.5000)

* Fermi-level density of states: 12.180 states/eV per cell
* mass density: 4.5 g/cm3
* energy relative to the elements, uncorrected: -1.435 eV/atom
* symmetry: Pmmn (59)
* spin magnetization: 0.003 Bohr magnetons per cell

=====

Density functional theory data (PBE) for crystalline Dy2NiHg at its relaxed geometry.

Lattice parameters (Å, degrees): 5.0437 5.0437 5.0437 60.00 60.00 60.00
Fractional coordinates of all 4 atoms:
Ni (0.5000, 0.5000, 0.5000)
Hg (0.0000, 0.0000, 0.0000)
Dy (0.2500, 0.2500, 0.2500)
Dy (0.7500, 0.7500, 0.7500)

* calculated formation energy: -0.362 eV per atom
* Fermi-level density of states: 2.514 states/eV per cell
* mass density: 10.7 g/cm3
* symmetry: Fm-3m (225)
* spin magnetization: 0.000 Bohr magnetons per cell

=====

Density functional theory data (PBE) for crystalline Hf6HgBi3 at its relaxed geometry.

Lattice parameters (Å, degrees): 7.4788 8.6105 8.6105 115.98 90.00 90.00
Fractional coordinates of all 20 atoms:
Hf (0.1025, 0.7844, 0.6121)
Hf (0.6025, 0.6121, 0.7844)
Hf (0.3050, 0.5594, 0.0001)
Hf (0.8050, 0.0001, 0.5594)
Hf (0.3078, 0.9420, 0.0580)
Hf (0.5237, 0.2570, 0.7430)
Hf (0.0237, 0.7430, 0.2570)
Hf (0.8078, 0.0580, 0.9420)
Hf (0.3050, 0.9999, 0.4406)
Hf (0.8050, 0.4406, 0.9999)
Hf (0.1025, 0.3879, 0.2156)
Hf (0.6025, 0.2156, 0.3879)
Hg (0.1121, 0.1895, 0.8105)
Hg (0.6121, 0.8105, 0.1895)
Bi (0.4766, 0.8921, 0.7019)
Bi (0.9766, 0.7019, 0.8921)
Bi (0.2735, 0.4241, 0.5759)
Bi (0.7735, 0.5759, 0.4241)
Bi (0.9766, 0.1079, 0.2981)
Bi (0.4766, 0.2981, 0.1079)

* calculated formation energy: 0.027 eV per atom
* Fermi-level density of states: 15.280 states/eV per cell
* mass density: 12.6 g/cm3
* symmetry: Cmc2_1 (36)
* spin magnetization: 0.000 Bohr magnetons per cell

=====

Density functional theory data (PBE) for crystalline Pm7Cd2Co2 at its relaxed geometry.

Lattice parameters (Å, degrees): 3.7156 9.6272 9.6272 67.03 78.87 78.87
Fractional coordinates of all 11 atoms:
Pm (0.8542, 0.0385, 0.2531)
Pm (0.8446, 0.4418, 0.8690)
Pm (0.5000, 0.0947, 0.9053)
Pm (0.6741, 0.4150, 0.2367)
Pm (0.3259, 0.7633, 0.5850)
Pm (0.1458, 0.7469, 0.9615)
Pm (0.1554, 0.1310, 0.5582)
Cd (0.0000, 0.6507, 0.3493)
Cd (0.5000, 0.4083, 0.5917)
Co (0.6900, 0.8918, 0.7282)
Co (0.3100, 0.2718, 0.1082)

* calculated formation energy: -0.082 eV per atom
* Fermi-level density of states: 13.984 states/eV per cell
* mass density: 7.3 g/cm3
* symmetry: Imm2 (44)
* spin magnetization: 0.000 Bohr magnetons per cell

=====

Density functional theory data (PBE) for crystalline CoHBrN at its relaxed geometry.

Lattice parameters (Å, degrees): 2.9488 3.1462 6.4717 89.80 90.12 64.11
Fractional coordinates of all 4 atoms:
Co (0.1782, 0.0722, 0.8136)
H (0.1774, 0.0780, 0.0442)
Br (0.1701, 0.0979, 0.3922)
N (0.8453, 0.7252, 0.8235)

* E_tot: -18.877 eV/cell
* Fermi-level density of states: 1.457 states/eV per cell
* mass density: 4.7 g/cm3
* symmetry: P1 (1)
* spin magnetization: 0.000 Bohr magnetons per cell

=====

Density functional theory data (PBE) for crystalline AlSiOs at its relaxed geometry.

Lattice parameters (Å, degrees): 4.5272 4.5272 4.5272 141.66 134.06 61.33
Fractional coordinates of all 3 atoms:
Si (0.6736, 0.6736, 0.0000)
Os (0.3284, 0.3284, 0.0000)
Al (0.9980, 0.9980, 0.0000)

* Fermi-level density of states: 0.831 states/eV per cell
* mass density: 10.0 g/cm3
* energy relative to the elements, uncorrected: -0.365 eV/atom
* symmetry: Imm2 (44)
* spin magnetization: 0.000 Bohr magnetons per cell

=====

Density functional theory data (PBE) for crystalline SiCBr2 at its relaxed geometry.

Lattice parameters (Å, degrees): 8.6428 8.6428 8.6428 22.65 22.65 22.65
Fractional coordinates of all 4 atoms:
Si (0.0000, 0.0000, 0.0000)
C (0.5000, 0.5000, 0.5000)
Br (0.8930, 0.8930, 0.8930)
Br (0.1070, 0.1070, 0.1070)

* Fermi-level density of states: 2.364 states/eV per cell
* mass density: 4.0 g/cm3
* energy relative to the elements, uncorrected: 1.625 eV/atom
* symmetry: R-3m (166)
* spin magnetization: 0.000 Bohr magnetons per cell

=====

Density functional theory data (PBE) for crystalline Li2CrCd at its relaxed geometry.

Lattice parameters (Å, degrees): 5.4761 5.4761 4.6663 64.53 64.53 34.86
Last column: magnetic moment on the atom in μB.
Fractional coordinates of all 4 atoms:
Cd (0.2500, 0.2500, 0.2500)  -0.02
Cr (0.7500, 0.7500, 0.7500)  3.73
Li (0.9967, 0.9967, 0.0034)  -0.01
Li (0.5033, 0.5033, 0.4966)  -0.01

* calculated formation energy: 0.200 eV per atom
* Fermi-level density of states: 1.699 states/eV per cell
* mass density: 4.1 g/cm3
* symmetry: C2/m (12)
* spin magnetization: 4.092 Bohr magnetons per cell